1.
Material: K2CuH
Method: DFT, PBE
State: optimized geometry

Cell lengths 5.4198, 5.4198, 5.4198 Å; angles 60.00, 60.00, 60.00 degrees
With the nearest neighbours (Å) after each atom.
Fractional positions:
1 H 0.0000 0.0000 0.0000  8 K 3.32
2 Cu 0.5000 0.5000 0.5000  8 K 3.32
3 K 0.2500 0.2500 0.2500  4 H 3.32, 4 Cu 3.32
4 K 0.7500 0.7500 0.7500  4 H 3.32, 4 Cu 3.32

Properties
Total moment: 0.0 μB per formula unit
Density of states at the Fermi level: 0.00 states/eV per atom
Offset from the most stable computed form: 73 meV/atom
VASP energy: -8.512 eV for the cell shown

2.
Material: K3CuH
Method: DFT, PBE
State: optimized geometry

Cell lengths 5.4724, 5.4724, 5.4724 Å; angles 90.00, 90.00, 90.00 degrees
With the nearest neighbours (Å) after each atom.
Fractional positions:
1 K 0.5000 0.0000 0.0000  2 H 2.74
2 K 0.0000 0.5000 0.0000  2 H 2.74
3 K 0.0000 0.0000 0.5000  2 H 2.74
4 Cu 0.5000 0.5000 0.5000  12 K 3.87
5 H 0.0000 0.0000 0.0000  6 K 2.74

Properties
Total moment: 0.0 μB per formula unit
Density of states at the Fermi level: 0.76 states/eV per atom
Offset from the most stable computed form: 0 meV/atom
VASP energy: -9.871 eV for the cell shown

3.
Material: KCu3H3
Method: DFT, PBE
State: optimized geometry

Cell lengths 3.9418, 7.7149, 7.7149 Å; angles 120.00, 90.00, 90.00 degrees
With the nearest neighbours (Å) after each atom.
Fractional positions:
1 H 0.2500 0.6018 0.9212  1 Cu 1.55
2 H 0.2500 0.3194 0.3982  1 Cu 1.55
3 H 0.2500 0.0788 0.6806  1 Cu 1.55
4 H 0.7500 0.3982 0.0788  1 Cu 1.55
5 H 0.7500 0.6806 0.6018  1 Cu 1.55
6 H 0.7500 0.9212 0.3194  1 Cu 1.55
7 K 0.7500 0.3333 0.6667  9 H 2.82-2.96
8 K 0.2500 0.6667 0.3333  9 H 2.82-2.96
9 Cu 0.7500 0.8800 0.1006  1 H 1.55
10 Cu 0.2500 0.1200 0.8994  1 H 1.55
11 Cu 0.7500 0.8994 0.7793  1 H 1.55
12 Cu 0.2500 0.1006 0.2207  1 H 1.55
13 Cu 0.7500 0.2207 0.1200  1 H 1.55
14 Cu 0.2500 0.7793 0.8800  1 H 1.55

Properties
Total moment: 0.0 μB per formula unit
Density of states at the Fermi level: 0.20 states/eV per atom
VASP energy: -44.746 eV for the cell shown

4.
Material: K2CuH4
Method: DFT, PBE
State: optimized geometry

Cell lengths 5.5430, 5.5459, 5.5459 Å; angles 96.68, 116.20, 116.20 degrees
With the nearest neighbours (Å) after each atom.
Fractional positions:
1 H 0.3910 0.1950 0.1950  1 Cu 1.62
2 H 0.6090 0.8050 0.8050  1 Cu 1.62
3 H 0.0000 0.1956 0.8044  1 Cu 1.62
4 H 0.0000 0.8044 0.1956  1 Cu 1.62
5 K 0.5000 0.2504 0.7496  8 H 2.81
6 K 0.5000 0.7496 0.2504  8 H 2.81
7 Cu 0.0000 0.0000 0.0000  4 H 1.62

Properties
Total moment: 0.0 μB per formula unit
Density of states at the Fermi level: 0.50 states/eV per atom
VASP energy: -19.918 eV for the cell shown

Q: Which formula does entry 2 have?
A: K3CuH

Repeat the first record exactly.
Material: K2CuH
Method: DFT, PBE
State: optimized geometry

Cell lengths 5.4198, 5.4198, 5.4198 Å; angles 60.00, 60.00, 60.00 degrees
With the nearest neighbours (Å) after each atom.
Fractional positions:
1 H 0.0000 0.0000 0.0000  8 K 3.32
2 Cu 0.5000 0.5000 0.5000  8 K 3.32
3 K 0.2500 0.2500 0.2500  4 H 3.32, 4 Cu 3.32
4 K 0.7500 0.7500 0.7500  4 H 3.32, 4 Cu 3.32

Properties
Total moment: 0.0 μB per formula unit
Density of states at the Fermi level: 0.00 states/eV per atom
Offset from the most stable computed form: 73 meV/atom
VASP energy: -8.512 eV for the cell shown